P:
Below is crystalline InGe2F at its relaxed geometry, with properties calculated at the PBE level.

Results
mass density: 5.52 g cm⁻³
magnetization: 0.00 μB/f.u.
density of states at the Fermi level: 0.41 states/eV per atom

a = 4.370 Å, b = 4.370 Å, c = 17.599 Å
α = 90.00°, β = 90.00°, γ = 90.00°
Space group I-42d (No. 122)
Inequivalent atoms, fractional coordinates:
In1 0.000 0.000 0.000 [4 per cell]
Ge1 0.162 0.250 0.625 [8 per cell]
F1 0.000 0.000 0.500 [4 per cell]



Q:
Below is crystalline InGe2F at its relaxed geometry, with properties calculated at the PBE level.

Results
mass density: 6.32 g cm⁻³
magnetization: 0.00 μB/f.u.
density of states at the Fermi level: 0.05 states/eV per atom

a = 6.645 Å, b = 6.645 Å, c = 6.645 Å
α = 90.00°, β = 90.00°, γ = 90.00°
Space group Fm-3m (No. 225)
Inequivalent atoms, fractional coordinates:
In1 0.000 0.000 0.000 [4 per cell]
Ge1 0.250 0.250 0.250 [8 per cell]
F1 0.000 0.000 0.500 [4 per cell]



Stability summary: most stable P, least stable Q.



P:
Below is crystalline In3GeF at its relaxed geometry, with properties calculated at the PBE level.

Results
mass density: 5.88 g cm⁻³
magnetization: 0.00 μB/f.u.
density of states at the Fermi level: 0.63 states/eV per atom

a = 4.977 Å, b = 4.977 Å, c = 4.977 Å
α = 90.00°, β = 90.00°, γ = 90.00°
Space group Pm-3m (No. 221)
Inequivalent atoms, fractional coordinates:
In1 0.000 0.000 0.500 [3 per cell]
Ge1 0.500 0.500 0.500 [1 per cell]
F1 0.000 0.000 0.000 [1 per cell]



Q:
Below is crystalline In3GeF at its relaxed geometry, with properties calculated at the PBE level.

Results
mass density: 4.28 g cm⁻³
magnetization: 0.00 μB/f.u.
density of states at the Fermi level: 0.55 states/eV per atom

a = 5.532 Å, b = 5.532 Å, c = 5.532 Å
α = 90.00°, β = 90.00°, γ = 90.00°
Space group Pm-3m (No. 221)
Inequivalent atoms, fractional coordinates:
In1 0.000 0.000 0.500 [3 per cell]
Ge1 0.000 0.000 0.000 [1 per cell]
F1 0.500 0.500 0.500 [1 per cell]



Stability summary: most stable P, least stable Q.



P:
Below is crystalline InGeNF2 at its relaxed geometry, with properties calculated at the PBE level.

Results
mass density: 5.19 g cm⁻³
magnetization: 0.00 μB/f.u.
density of states at the Fermi level: 0.09 states/eV per atom

a = 4.244 Å, b = 4.244 Å, c = 4.256 Å
α = 90.00°, β = 90.00°, γ = 90.00°
Space group P4/mmm (No. 123)
Inequivalent atoms, fractional coordinates:
In1 0.000 0.000 0.000 [1 per cell]
Ge1 0.500 0.500 0.500 [1 per cell]
N1 0.000 0.000 0.500 [1 per cell]
F1 0.000 0.500 0.000 [2 per cell]



Q:
Below is crystalline InGeNF2 at its relaxed geometry, with properties calculated at the PBE level.

Results
mass density: 5.61 g cm⁻³
magnetization: 0.00 μB/f.u.
density of states at the Fermi level: 0.09 states/eV per atom

a = 4.525 Å, b = 4.525 Å, c = 3.464 Å
α = 90.00°, β = 90.00°, γ = 90.00°
Space group P4/mmm (No. 123)
Inequivalent atoms, fractional coordinates:
In1 0.000 0.000 0.000 [1 per cell]
Ge1 0.500 0.500 0.500 [1 per cell]
N1 0.500 0.500 0.000 [1 per cell]
F1 0.000 0.500 0.500 [2 per cell]



Stability summary: most stable Q, least stable P.



P:
Below is crystalline Ge2IrF at its relaxed geometry, with properties calculated at the PBE level.

Results
mass density: 7.09 g cm⁻³
magnetization: 0.00 μB/f.u.
density of states at the Fermi level: 0.45 states/eV per atom

a = 5.538 Å, b = 5.538 Å, c = 10.889 Å
α = 90.00°, β = 90.00°, γ = 90.00°
Space group I-42d (No. 122)
Inequivalent atoms, fractional coordinates:
Ge1 0.243 0.250 0.125 [8 per cell]
Ir1 0.000 0.000 0.000 [4 per cell]
F1 0.000 0.000 0.500 [4 per cell]



Q:
Below is crystalline Ge2IrF at its relaxed geometry, with properties calculated at the PBE level.

Results
mass density: 10.16 g cm⁻³
magnetization: 0.00 μB/f.u.
density of states at the Fermi level: 0.99 states/eV per atom

a = 6.154 Å, b = 6.154 Å, c = 6.154 Å
α = 90.00°, β = 90.00°, γ = 90.00°
Space group Fm-3m (No. 225)
Inequivalent atoms, fractional coordinates:
Ge1 0.250 0.250 0.250 [8 per cell]
Ir1 0.000 0.000 0.000 [4 per cell]
F1 0.000 0.000 0.500 [4 per cell]



Stability summary: most stable Q, least stable P.